A relaxed PRuS2N crystal. Source: Alexandria via LeMat-Bulk, functional GGA-PBE.

* VASP energy: -4.564 eV per atom
* D(E_F): 1.1354 states/eV/atom
* formation energy without anion corrections: 1689 meV/atom
* theoretical density: 3.75 g/cm³
* E above lowest polymorph: 927 meV/atom

Cell lengths 4.4735, 4.4735, 4.6498 Å; angles 90.00, 90.00, 90.00 degrees
Space group P4/mmm (No. 123)
One atom of each set of equivalent atoms:
P: 0.0000 0.0000 0.0000 (multiplicity 1)
Ru: 0.0000 0.0000 0.5000 (multiplicity 1)
S: 0.0000 0.5000 0.5000 (multiplicity 2)
N: 0.5000 0.5000 0.0000 (multiplicity 1)

---

A relaxed PRuSe2N crystal. Source: Alexandria via LeMat-Bulk, functional GGA-PBE.

* VASP energy: -5.324 eV per atom
* D(E_F): 0.8020 states/eV/atom
* formation energy without anion corrections: 672 meV/atom
* theoretical density: 5.52 g/cm³
* E above lowest polymorph: 0 meV/atom

Cell lengths 5.0104, 5.0104, 3.6436 Å; angles 90.00, 90.00, 90.00 degrees
Space group P4/mmm (No. 123)
One atom of each set of equivalent atoms:
P: 0.0000 0.0000 0.0000 (multiplicity 1)
Ru: 0.5000 0.5000 0.5000 (multiplicity 1)
Se: 0.0000 0.5000 0.5000 (multiplicity 2)
N: 0.5000 0.5000 0.0000 (multiplicity 1)

---

A relaxed PRuSeN2 crystal. Source: Alexandria via LeMat-Bulk, functional GGA-PBE.

* VASP energy: -5.899 eV per atom
* D(E_F): 0.5972 states/eV/atom
* formation energy without anion corrections: 1065 meV/atom
* theoretical density: 4.39 g/cm³
* E above lowest polymorph: 59 meV/atom

Cell lengths 3.3618, 3.3618, 7.9948 Å; angles 90.00, 90.00, 90.00 degrees
Space group P4/mmm (No. 123)
One atom of each set of equivalent atoms:
P: 0.0000 0.0000 0.0000 (multiplicity 1)
Ru: 0.5000 0.5000 0.5000 (multiplicity 1)
Se: 0.0000 0.0000 0.5000 (multiplicity 1)
N: 0.0000 0.5000 0.0000 (multiplicity 2)

---

A relaxed PRuSeN2 crystal. Source: Alexandria via LeMat-Bulk, functional GGA-PBE.

* VASP energy: -5.958 eV per atom
* D(E_F): 0.7224 states/eV/atom
* formation energy without anion corrections: 1006 meV/atom
* theoretical density: 5.08 g/cm³
* E above lowest polymorph: 0 meV/atom

Cell lengths 3.7679, 3.7679, 5.5001 Å; angles 90.00, 90.00, 90.00 degrees
Space group P4/mmm (No. 123)
One atom of each set of equivalent atoms:
P: 0.0000 0.0000 0.0000 (multiplicity 1)
Ru: 0.5000 0.5000 0.5000 (multiplicity 1)
Se: 0.5000 0.5000 0.0000 (multiplicity 1)
N: 0.0000 0.5000 0.5000 (multiplicity 2)

---

A relaxed PRuSe2N crystal. Source: Alexandria via LeMat-Bulk, functional GGA-PBE.

* VASP energy: -5.230 eV per atom
* D(E_F): 0.5927 states/eV/atom
* formation energy without anion corrections: 766 meV/atom
* theoretical density: 6.64 g/cm³
* E above lowest polymorph: 94 meV/atom

Cell lengths 4.8964, 4.8964, 3.1725 Å; angles 90.00, 90.00, 90.00 degrees
Space group P4/mmm (No. 123)
One atom of each set of equivalent atoms:
P: 0.0000 0.0000 0.0000 (multiplicity 1)
Ru: 0.5000 0.5000 0.5000 (multiplicity 1)
Se: 0.0000 0.5000 0.0000 (multiplicity 2)
N: 0.0000 0.0000 0.5000 (multiplicity 1)

---

A relaxed SmPRuN crystal. Source: Alexandria via LeMat-Bulk, functional GGA-PBE.

* VASP energy: -8.074 eV per atom
* D(E_F): 0.3587 states/eV/atom
* formation energy without anion corrections: -1141 meV/atom
* theoretical density: 7.99 g/cm³

Cell lengths 3.9579, 3.9579, 7.8618 Å; angles 90.00, 90.00, 90.00 degrees
Space group P4/nmm (No. 129, origin choice 2)
One atom of each set of equivalent atoms:
Sm: 0.2500 0.2500 0.1673 (multiplicity 2)
P: 0.2500 0.2500 0.6529 (multiplicity 2)
Ru: 0.2500 0.7500 0.5000 (multiplicity 2)
N: 0.2500 0.2500 0.8677 (multiplicity 2)

---

A relaxed SmPRu2N crystal. Source: Alexandria via LeMat-Bulk, functional GGA-PBE.

* VASP energy: -8.198 eV per atom
* D(E_F): 0.5623 states/eV/atom
* formation energy without anion corrections: -797 meV/atom
* theoretical density: 8.88 g/cm³

Cell lengths 3.6966, 11.3846, 7.0671 Å; angles 90.00, 90.00, 90.00 degrees
Space group Cmcm (No. 63)
One atom of each set of equivalent atoms:
Sm: 0.0000 0.0382 0.2500 (multiplicity 4)
P: 0.0000 0.2319 0.7500 (multiplicity 4)
Ru: 0.0000 0.3337 0.0518 (multiplicity 8)
N: 0.0000 0.5000 0.0000 (multiplicity 4)

---

A relaxed Sr2PRuN crystal. Source: Alexandria via LeMat-Bulk, functional GGA-PBE.

* VASP energy: -5.957 eV per atom
* D(E_F): 0.5664 states/eV/atom
* formation energy without anion corrections: -682 meV/atom
* theoretical density: 4.99 g/cm³

Cell lengths 3.9996, 3.9996, 13.3729 Å; angles 90.00, 90.00, 90.00 degrees
Space group P4/nmm (No. 129, origin choice 2)
One atom of each set of equivalent atoms:
Sr: 0.2500 0.2500 0.0853 (multiplicity 2)
Sr: 0.2500 0.2500 0.7101 (multiplicity 2)
P: 0.2500 0.2500 0.4098 (multiplicity 2)
Ru: 0.2500 0.7500 0.5000 (multiplicity 2)
N: 0.2500 0.2500 0.8906 (multiplicity 2)

---

A relaxed SrPRu2N crystal. Source: Alexandria via LeMat-Bulk, functional GGA-PBE.

* VASP energy: -7.392 eV per atom
* D(E_F): 0.4733 states/eV/atom
* formation energy without anion corrections: -598 meV/atom
* theoretical density: 7.20 g/cm³

Cell lengths 3.8741, 11.1654, 7.1421 Å; angles 90.00, 90.00, 90.00 degrees
Space group Cmcm (No. 63)
One atom of each set of equivalent atoms:
Sr: 0.0000 0.0445 0.2500 (multiplicity 4)
P: 0.0000 0.2287 0.7500 (multiplicity 4)
Ru: 0.0000 0.3341 0.0524 (multiplicity 8)
N: 0.0000 0.5000 0.0000 (multiplicity 4)

---

A relaxed Sr2P2RuN6 crystal. Source: Alexandria via LeMat-Bulk, functional GGA-PBE.

* VASP energy: -7.025 eV per atom
* D(E_F): 0.3103 states/eV/atom
* formation energy without anion corrections: -352 meV/atom
* theoretical density: 4.78 g/cm³

Cell lengths 5.5649, 5.5649, 16.4228 Å; angles 90.00, 90.00, 120.00 degrees
Space group R-3m (No. 166, hexagonal axes)
One atom of each set of equivalent atoms:
Sr: 0.0000 0.0000 0.2124 (multiplicity 6)
P: 0.0000 0.0000 0.4050 (multiplicity 6)
Ru: 0.0000 0.0000 0.0000 (multiplicity 3)
N: 0.0062 0.5031 0.2560 (multiplicity 18)

---

A relaxed ThPRuN crystal. Source: Alexandria via LeMat-Bulk, functional GGA-PBE.

* VASP energy: -8.946 eV per atom
* D(E_F): 0.3683 states/eV/atom
* formation energy without anion corrections: -1339 meV/atom
* theoretical density: 9.08 g/cm³

Cell lengths 4.0747, 4.0747, 8.3308 Å; angles 90.00, 90.00, 90.00 degrees
Space group P4/nmm (No. 129, origin choice 2)
One atom of each set of equivalent atoms:
Th: 0.2500 0.2500 0.1389 (multiplicity 2)
P: 0.2500 0.2500 0.6384 (multiplicity 2)
Ru: 0.2500 0.7500 0.5000 (multiplicity 2)
N: 0.2500 0.7500 0.0000 (multiplicity 2)

---

A relaxed TlP2RuN crystal. Source: Alexandria via LeMat-Bulk, functional GGA-PBE.

* VASP energy: -5.225 eV per atom
* D(E_F): 0.7149 states/eV/atom
* formation energy without anion corrections: 932 meV/atom
* theoretical density: 7.89 g/cm³

Cell lengths 4.5401, 4.5401, 3.8967 Å; angles 90.00, 90.00, 90.00 degrees
Space group P4/mmm (No. 123)
One atom of each set of equivalent atoms:
Tl: 0.0000 0.0000 0.0000 (multiplicity 1)
P: 0.0000 0.5000 0.5000 (multiplicity 2)
Ru: 0.5000 0.5000 0.0000 (multiplicity 1)
N: 0.5000 0.5000 0.5000 (multiplicity 1)